Entry 1:
12
Lattice="-0.515 -1.643 5.220 4.164 0.689 3.522 -2.016 7.793 5.149" Properties=species:S:1:pos:R:3 comment="PBE Ac3YRh8, relaxed" crystal_system=trigonal final_energy_ev_per_atom=-7.0607 mass_density_g_cm3=11.2 pbc="T T T"
Rh 0.943 0.266 7.412
Rh 2.051 4.418 11.716
Rh -0.022 4.075 9.963
Rh 3.283 1.432 6.563
Rh 0.620 6.648 10.836
Rh 2.307 5.236 9.118
Rh 1.201 1.088 4.802
Rh -0.194 3.220 3.889
Ac 3.631 -0.909 8.754
Ac -0.388 6.443 7.778
Ac 0.831 3.383 6.935
Y 2.426 2.114 9.587


Entry 2:
5
Lattice="5.700 0.000 0.000 0.000 5.700 0.000 0.000 0.000 5.700" Properties=species:S:1:pos:R:3 comment="PBE KCa3Os, relaxed" de_polymorph_mev_per_atom=0 crystal_system=cubic mass_density_g_cm3=3.1 pbc="T T T"
K 2.850 2.850 2.850
Ca 0.000 2.850 0.000
Ca 0.000 0.000 2.850
Ca 2.850 0.000 0.000
Os 0.000 0.000 0.000


Entry 3:
8
Lattice="-2.207 0.142 -2.748 4.938 0.587 -3.936 0.927 -12.930 0.853" Properties=species:S:1:pos:R:3 comment="PBE La4Nd3Th, relaxed" de_polymorph_mev_per_atom=0 crystal_system=monoclinic mass_density_g_cm3=7.1 pbc="T T T"
La 2.556 -9.648 -4.814
La 1.102 -2.554 -1.017
La 3.655 -6.728 -3.283
La 0.003 -5.474 -2.549
Th -1.104 0.071 -1.374
Nd 3.636 -3.217 -3.086
Nd 0.022 -8.985 -2.745
Nd 2.469 0.293 -1.968